[1]
Below is an optimized crystal structure of FeNiMoRh, with properties calculated at the PBE-GGA level.

total magnetic moment = 0.61 μB/atom
relative energy among the computed polymorphs = 0 meV per atom
ΔE_f = -86 meV/atom

Lattice parameters (Å, degrees): 3.708 3.708 4.627 113.64 113.64 89.94
Last column: magnetic moment on the atom in μB.
Fractional coordinates of all 4 atoms:
Fe 0.250 0.750 0.500  2.39
Ni 0.000 0.000 0.000  0.24
Mo 0.750 0.250 0.500  -0.31
Rh 0.500 0.500 0.000  0.14

***

[2]
Below is an optimized crystal structure of FeNiMoRh, with properties calculated at the PBE-GGA level.

total magnetic moment = 0.49 μB/atom
relative energy among the computed polymorphs = 146 meV per atom
ΔE_f = 60 meV/atom

Lattice parameters (Å, degrees): 4.203 4.203 4.203 60.00 60.00 60.00
Last column: magnetic moment on the atom in μB.
Fractional coordinates of all 4 atoms:
Ni 0.500 0.500 0.500  -0.08
Mo 0.250 0.250 0.250  -0.40
Rh 0.750 0.750 0.750  0.27
Fe 0.000 0.000 0.000  2.22

***

[3]
Below is an optimized crystal structure of FeNiMoRu, with properties calculated at the PBE-GGA level.

total magnetic moment = 0.48 μB/atom
ΔE_f = 162 meV/atom

Lattice parameters (Å, degrees): 4.211 4.211 4.211 60.00 60.00 60.00
Last column: magnetic moment on the atom in μB.
Fractional coordinates of all 4 atoms:
Ru 0.250 0.250 0.250  0.07
Mo 0.000 0.000 0.000  -0.33
Fe 0.750 0.750 0.750  1.91
Ni 0.500 0.500 0.500  0.35

***

[4]
Below is an optimized crystal structure of FeSiNiMo, with properties calculated at the PBE-GGA level.

total magnetic moment = 0.33 μB/atom
formation energy from raw total energies = -154 meV/atom

Lattice parameters (Å, degrees): 4.126 4.126 4.126 60.00 60.00 60.00
Last column: magnetic moment on the atom in μB.
Fractional coordinates of all 4 atoms:
Ni 0.500 0.500 0.500  -0.04
Mo 0.000 0.000 0.000  -0.28
Si 0.250 0.250 0.250  0.03
Fe 0.750 0.750 0.750  1.60